# 1
# AcNiAgF6 | Alexandria via LeMat-Bulk | GGA+U | relaxed
# raw total energy: -45.1 eV per formula unit
# mass density: 5.9 g cm⁻³
data_AcNiAgF6
_chemical_formula_sum 'Ac2 Ni2 Ag2 F12'
_space_group_name_H-M_alt 'P -3 1 c'
_space_group_IT_number 163
_space_group_name_Hall '-P 3 2c'
_cell_length_a 6.1452
_cell_length_b 6.1452
_cell_length_c 8.7070
_cell_angle_alpha 90.00
_cell_angle_beta 90.00
_cell_angle_gamma 120.00
loop_
_atom_site_label
_atom_site_type_symbol
_atom_site_fract_x
_atom_site_fract_y
_atom_site_fract_z
Ac1 Ac 0.3333 0.6667 0.2500
Ni1 Ni 0.3333 0.6667 0.7500
Ag1 Ag 0.0000 0.0000 0.0000
F1 F 0.0502 0.3868 0.6273

***

# 2
# AcNiAg2F8 | Alexandria via LeMat-Bulk | GGA+U | relaxed
# raw total energy: -54.9 eV per formula unit
# mass density: 5.8 g cm⁻³
data_AcNiAg2F8
_chemical_formula_sum 'Ac1 Ni1 Ag2 F8'
_space_group_name_H-M_alt 'P -1'
_space_group_IT_number 2
_cell_length_a 4.182
_cell_length_b 5.477
_cell_length_c 8.228
_cell_angle_alpha 90.14
_cell_angle_beta 90.80
_cell_angle_gamma 92.69
loop_
_space_group_symop_operation_xyz
'x,y,z'
'-x,-y,-z'
loop_
_atom_site_label
_atom_site_type_symbol
_atom_site_fract_x
_atom_site_fract_y
_atom_site_fract_z
Ac1 Ac 0.000 0.000 0.000
Ni1 Ni 0.000 0.000 0.500
Ag1 Ag 0.455 0.505 0.726
F1 F 0.051 0.856 0.711
F2 F 0.053 0.657 0.198
F3 F 0.388 0.232 0.528
F4 F 0.498 0.761 0.943

***

no.,total magnetization (μB per formula unit)
1,1.890
2,3.045